# PBE TbFe9B4, optimized geometry
data_TbFe9B4
_cell_length_a 7.3319
_cell_length_b 7.3320
_cell_length_c 7.5681
_cell_angle_alpha 118.97
_cell_angle_beta 118.97
_cell_angle_gamma 90.00
_symmetry_space_group_name_H-M 'P 1'
_symmetry_Int_Tables_number 1
_symmetry_space_group_name_Hall 'P 1'
loop_
_atom_site_label
_atom_site_type_symbol
_atom_site_fract_x
_atom_site_fract_y
_atom_site_fract_z
_atom_site_occupancy
Fe1 Fe 0.1918 0.1079 0.0000 1
Fe2 Fe 0.1079 0.8082 0.0000 1
Fe3 Fe 0.4157 0.6992 0.0000 1
Fe4 Fe 0.8082 0.8921 0.0000 1
Fe5 Fe 0.5843 0.3008 0.0000 1
Fe6 Fe 0.0000 0.5000 0.0000 1
Fe7 Fe 0.9455 0.1735 0.6445 1
Fe8 Fe 0.8921 0.1918 0.0000 1
Fe9 Fe 0.6990 0.4710 0.6445 1
Fe10 Fe 0.5000 0.0000 0.0000 1
Fe11 Fe 0.5290 0.0545 0.3555 1
Fe12 Fe 0.3010 0.5290 0.3555 1
Fe13 Fe 0.4710 0.9455 0.6445 1
Fe14 Fe 0.1735 0.6990 0.6445 1
Fe15 Fe 0.3008 0.4157 0.0000 1
Fe16 Fe 0.6992 0.5843 0.0000 1
Fe17 Fe 0.8265 0.3010 0.3555 1
Fe18 Fe 0.0545 0.8265 0.3555 1
Tb1 Tb 0.2501 0.2501 0.5001 1
Tb2 Tb 0.7499 0.7499 0.4999 1
B1 B 0.6772 0.2355 0.7285 1
B2 B 0.2355 0.0513 0.7285 1
B3 B 0.7645 0.9487 0.2715 1
B4 B 0.0513 0.4930 0.7285 1
B5 B 0.9487 0.5070 0.2715 1
B6 B 0.5070 0.3228 0.2715 1
B7 B 0.4930 0.6772 0.7285 1
B8 B 0.3228 0.7645 0.2715 1
# **V**: 10.59 Å³/atom
# **ΔH_f (0 K)**: -167 meV/atom
# **Total energy**: -7.846 eV/atom